Record 1
# MnVI2N, relaxed, DFT GGA-PBE
# Spin magnetization, Bohr magnetons per cell: 1.51
# Density of states at the Fermi level, states/eV/atom: 1.102
# Calculated volume, A^3/atom: 20.5
data_MnVI2N
_cell_length_a 5.395
_cell_length_b 5.395
_cell_length_c 3.518
_cell_angle_alpha 90.00
_cell_angle_beta 90.00
_cell_angle_gamma 90.00
_space_group_name_H-M_alt 'P 1'
_space_group_IT_number 1
_space_group_name_Hall 'P 1'
loop_
_atom_site_label
_atom_site_type_symbol
_atom_site_fract_x
_atom_site_fract_y
_atom_site_fract_z
Mn1 Mn 0.000 0.000 0.000
I1 I 0.500 0.000 0.000
I2 I 0.000 0.500 0.000
N1 N 0.000 0.000 0.500
V1 V 0.500 0.500 0.500

=====

Record 2
# MnWIN2, relaxed, DFT GGA-PBE
# Spin magnetization, Bohr magnetons per cell: 4.36
# Density of states at the Fermi level, states/eV/atom: 0.705
# Calculated volume, A^3/atom: 18.1
data_MnWIN2
_cell_length_a 3.956
_cell_length_b 3.956
_cell_length_c 5.782
_cell_angle_alpha 90.00
_cell_angle_beta 90.00
_cell_angle_gamma 90.00
_space_group_name_H-M_alt 'P 1'
_space_group_IT_number 1
_space_group_name_Hall 'P 1'
loop_
_atom_site_label
_atom_site_type_symbol
_atom_site_fract_x
_atom_site_fract_y
_atom_site_fract_z
N1 N 0.000 0.500 0.000
N2 N 0.500 0.000 0.000
I1 I 0.000 0.000 0.500
W1 W 0.000 0.000 0.000
Mn1 Mn 0.500 0.500 0.500

=====

Record 3
# MnWIN2, relaxed, DFT GGA-PBE
# Spin magnetization, Bohr magnetons per cell: 3.28
# Density of states at the Fermi level, states/eV/atom: 0.735
# Calculated volume, A^3/atom: 15.5
data_MnWIN2
_cell_length_a 3.811
_cell_length_b 3.811
_cell_length_c 5.328
_cell_angle_alpha 90.00
_cell_angle_beta 90.00
_cell_angle_gamma 90.00
_space_group_name_H-M_alt 'P 1'
_space_group_IT_number 1
_space_group_name_Hall 'P 1'
loop_
_atom_site_label
_atom_site_type_symbol
_atom_site_fract_x
_atom_site_fract_y
_atom_site_fract_z
I1 I 0.000 0.000 0.500
W1 W 0.500 0.500 0.500
N1 N 0.000 0.500 0.000
N2 N 0.500 0.000 0.000
Mn1 Mn 0.000 0.000 0.000

=====

Record 4
# MnWI2N, relaxed, DFT GGA-PBE
# Spin magnetization, Bohr magnetons per cell: 2.86
# Density of states at the Fermi level, states/eV/atom: 0.909
# Calculated volume, A^3/atom: 19.5
data_MnWI2N
_cell_length_a 5.296
_cell_length_b 5.296
_cell_length_c 3.469
_cell_angle_alpha 90.00
_cell_angle_beta 90.00
_cell_angle_gamma 90.00
_space_group_name_H-M_alt 'P 1'
_space_group_IT_number 1
_space_group_name_Hall 'P 1'
loop_
_atom_site_label
_atom_site_type_symbol
_atom_site_fract_x
_atom_site_fract_y
_atom_site_fract_z
I1 I 0.000 0.500 0.000
I2 I 0.500 0.000 0.000
N1 N 0.000 0.000 0.500
Mn1 Mn 0.000 0.000 0.000
W1 W 0.500 0.500 0.500

=====

Record 5
# MnWI2N, relaxed, DFT GGA-PBE
# Spin magnetization, Bohr magnetons per cell: 5.83
# Density of states at the Fermi level, states/eV/atom: 0.623
# Calculated volume, A^3/atom: 24.6
data_MnWI2N
_cell_length_a 5.659
_cell_length_b 5.659
_cell_length_c 3.842
_cell_angle_alpha 90.00
_cell_angle_beta 90.00
_cell_angle_gamma 90.00
_space_group_name_H-M_alt 'P 1'
_space_group_IT_number 1
_space_group_name_Hall 'P 1'
loop_
_atom_site_label
_atom_site_type_symbol
_atom_site_fract_x
_atom_site_fract_y
_atom_site_fract_z
Mn1 Mn 0.500 0.500 0.500
W1 W 0.000 0.000 0.000
N1 N 0.000 0.000 0.500
I1 I 0.500 0.000 0.000
I2 I 0.000 0.500 0.000

=====

Record 6
# YMnI2N, relaxed, DFT GGA-PBE
# Spin magnetization, Bohr magnetons per cell: 0.00
# Density of states at the Fermi level, states/eV/atom: 0.784
# Calculated volume, A^3/atom: 21.8
data_YMnI2N
_cell_length_a 5.503
_cell_length_b 5.503
_cell_length_c 3.598
_cell_angle_alpha 90.00
_cell_angle_beta 90.00
_cell_angle_gamma 90.00
_space_group_name_H-M_alt 'P 1'
_space_group_IT_number 1
_space_group_name_Hall 'P 1'
loop_
_atom_site_label
_atom_site_type_symbol
_atom_site_fract_x
_atom_site_fract_y
_atom_site_fract_z
Y1 Y 0.500 0.500 0.500
I1 I 0.000 0.500 0.000
I2 I 0.500 0.000 0.000
Mn1 Mn 0.000 0.000 0.000
N1 N 0.000 0.000 0.500

=====

Record 7
# YMnI2N, relaxed, DFT GGA-PBE
# Spin magnetization, Bohr magnetons per cell: 5.55
# Density of states at the Fermi level, states/eV/atom: 0.805
# Calculated volume, A^3/atom: 31.6
data_YMnI2N
_cell_length_a 6.194
_cell_length_b 6.194
_cell_length_c 4.125
_cell_angle_alpha 90.00
_cell_angle_beta 90.00
_cell_angle_gamma 90.00
_space_group_name_H-M_alt 'P 1'
_space_group_IT_number 1
_space_group_name_Hall 'P 1'
loop_
_atom_site_label
_atom_site_type_symbol
_atom_site_fract_x
_atom_site_fract_y
_atom_site_fract_z
I1 I 0.500 0.000 0.000
I2 I 0.000 0.500 0.000
N1 N 0.000 0.000 0.500
Y1 Y 0.000 0.000 0.000
Mn1 Mn 0.500 0.500 0.500

=====

Record 8
# MnZnI2N, relaxed, DFT GGA-PBE
# Spin magnetization, Bohr magnetons per cell: 6.53
# Density of states at the Fermi level, states/eV/atom: 0.487
# Calculated volume, A^3/atom: 25.6
data_MnZnI2N
_cell_length_a 5.823
_cell_length_b 5.823
_cell_length_c 3.773
_cell_angle_alpha 90.00
_cell_angle_beta 90.00
_cell_angle_gamma 90.00
_space_group_name_H-M_alt 'P 1'
_space_group_IT_number 1
_space_group_name_Hall 'P 1'
loop_
_atom_site_label
_atom_site_type_symbol
_atom_site_fract_x
_atom_site_fract_y
_atom_site_fract_z
I1 I 0.500 0.000 0.000
I2 I 0.000 0.500 0.000
Zn1 Zn 0.000 0.000 0.000
N1 N 0.000 0.000 0.500
Mn1 Mn 0.500 0.500 0.500

=====

Record 9
# MnZnI2N, relaxed, DFT GGA-PBE
# Spin magnetization, Bohr magnetons per cell: 2.04
# Density of states at the Fermi level, states/eV/atom: 0.603
# Calculated volume, A^3/atom: 22.3
data_MnZnI2N
_cell_length_a 5.570
_cell_length_b 5.570
_cell_length_c 3.599
_cell_angle_alpha 90.00
_cell_angle_beta 90.00
_cell_angle_gamma 90.00
_space_group_name_H-M_alt 'P 1'
_space_group_IT_number 1
_space_group_name_Hall 'P 1'
loop_
_atom_site_label
_atom_site_type_symbol
_atom_site_fract_x
_atom_site_fract_y
_atom_site_fract_z
N1 N 0.000 0.000 0.500
I1 I 0.000 0.500 0.000
I2 I 0.500 0.000 0.000
Zn1 Zn 0.500 0.500 0.500
Mn1 Mn 0.000 0.000 0.000

=====

Record 10
# ZrMnIN2, relaxed, DFT GGA-PBE
# Spin magnetization, Bohr magnetons per cell: 0.22
# Density of states at the Fermi level, states/eV/atom: 0.882
# Calculated volume, A^3/atom: 15.2
data_ZrMnIN2
_cell_length_a 3.902
_cell_length_b 3.902
_cell_length_c 5.006
_cell_angle_alpha 90.00
_cell_angle_beta 90.00
_cell_angle_gamma 90.00
_space_group_name_H-M_alt 'P 1'
_space_group_IT_number 1
_space_group_name_Hall 'P 1'
loop_
_atom_site_label
_atom_site_type_symbol
_atom_site_fract_x
_atom_site_fract_y
_atom_site_fract_z
N1 N 0.500 0.000 0.000
N2 N 0.000 0.500 0.000
Mn1 Mn 0.000 0.000 0.000
I1 I 0.000 0.000 0.500
Zr1 Zr 0.500 0.500 0.500

=====

Result set for total energy: -5.209; -7.366; -6.371; -5.532; -6.057; -5.448; -5.252; -3.619; -4.086; -6.314 eV/atom, one per record in the order listed.